[1]
Compound: Cd2SO
Source: Alexandria via LeMat-Bulk
Functional: PBE
Structure: relaxed

```
4
Lattice="0.0000 3.1882 3.1882 3.1882 0.0000 3.1882 3.1882 3.1882 0.0000" Properties=species:S:1:pos:R:3 pbc="T T T"
Cd 1.5941 1.5941 1.5941
Cd 4.7824 4.7824 4.7824
S 0.0000 0.0000 0.0000
O 3.1882 3.1882 3.1882
```

Summary:
N(E_F): 0.6 states/eV/f.u.
Offset from the most stable computed form: 581 meV per atom
Space group: Fm-3m

[2]
Compound: Cd3SO2
Source: Alexandria via LeMat-Bulk
Functional: PBE
Structure: relaxed

```
12
Lattice="3.2972 -5.7604 0.0000 3.2972 5.7604 0.0000 -2.1166 0.0000 6.2053" Properties=species:S:1:pos:R:3 pbc="T T T"
Cd 2.2389 4.8338 3.1027
Cd 3.6207 3.1205 0.0315
Cd 2.5080 1.1918 3.3490
Cd 3.5663 -1.1918 0.2463
Cd 2.5624 -3.1205 3.1342
Cd 3.2972 -4.8338 0.0000
S 2.4115 1.0248 0.8253
S 1.3532 -1.0248 3.9280
O 1.3372 2.9740 3.9777
O 2.3955 -2.9740 0.8750
O 4.6368 0.9450 3.9582
O 5.6951 -0.9450 0.8555
```

Summary:
N(E_F): 0.7 states/eV/f.u.
Space group: Cc
E: -43.8 eV/cell

[3]
Compound: CdSO4
Source: Alexandria via LeMat-Bulk
Functional: PBE
Structure: relaxed

```
6
Lattice="-2.6752 2.6752 3.9131 2.6752 -2.6752 3.9131 2.6752 2.6752 -3.9131" Properties=species:S:1:pos:R:3 pbc="T T T"
Cd 0.0000 0.0000 0.0000
S 0.0000 2.6752 1.9566
O 3.6291 0.7846 -1.1185
O 0.7846 1.7212 1.1185
O -0.9540 1.8905 2.7946
O 1.8905 0.9540 5.0317
```

Summary:
N(E_F): 0.0 states/eV/f.u.
Space group: I-4
E: -32.8 eV/cell

[4]
Compound: Cd2SO6
Source: Alexandria via LeMat-Bulk
Functional: PBE
Structure: relaxed

```
18
Lattice="5.9283 -3.9126 0.0000 5.9283 3.9126 0.0000 -3.7082 0.0000 5.6809" Properties=species:S:1:pos:R:3 pbc="T T T"
Cd 2.0855 0.7008 0.9401
Cd 0.2314 -0.7008 3.7806
Cd 7.9170 0.7008 1.9003
Cd 6.0629 -0.7008 4.7408
S 3.1471 1.5365 4.2607
S 5.0012 -1.5365 1.4202
O -0.7167 1.1404 4.5707
O 2.3053 2.3822 5.1602
O 3.9890 2.3822 3.3611
O 2.2606 0.6876 3.4088
O 1.1374 -1.1404 1.7302
O 4.1147 -0.6876 0.5684
O 4.0336 0.6876 5.1125
O 7.0110 1.1404 3.9507
O 5.8877 -0.6876 2.2721
O 4.1594 -2.3822 2.3197
O 5.8430 -2.3822 0.5207
O 8.8651 -1.1404 1.1102
```

Summary:
Offset from the most stable computed form: 143 meV per atom
Space group: C2/c

[5]
Compound: CdSO6
Source: Alexandria via LeMat-Bulk
Functional: PBE
Structure: relaxed

```
8
Lattice="4.3400 -2.7695 0.0000 4.3400 2.7695 0.0000 -2.8358 0.0000 4.2573" Properties=species:S:1:pos:R:3 pbc="T T T"
Cd 0.0000 0.0000 0.0000
S 2.9221 0.0000 2.1286
O 3.0563 1.1345 0.9973
O 1.3274 0.0000 1.9220
O 2.7879 1.1345 3.2599
O 3.0563 -1.1345 0.9973
O 4.5167 0.0000 2.3352
O 2.7879 -1.1345 3.2599
```

Summary:
N(E_F): 6.8 states/eV/f.u.
Space group: C2/m
E: -36.4 eV/cell

[6]
Compound: CdSO3
Source: Alexandria via LeMat-Bulk
Functional: PBE
Structure: relaxed

```
10
Lattice="4.6313 0.0000 0.0000 1.6468 5.4399 0.0000 1.6870 1.6384 6.1682" Properties=species:S:1:pos:R:3 pbc="T T T"
Cd 1.0000 1.4158 1.3075
Cd 6.9650 5.6625 4.8606
S 2.8440 2.3195 4.1002
S 5.1210 4.7589 2.0680
O 1.3903 2.0498 3.6114
O 2.6963 3.4115 5.2068
O 4.7703 6.4611 4.9122
O 3.1948 0.6172 1.2560
O 5.2687 3.6669 0.9614
O 6.5748 5.0286 2.5567
```

Summary:
N(E_F): 0.0 states/eV/f.u.
Space group: P-1
E: -52.0 eV/cell

[7]
Compound: Cd2SO5
Source: Alexandria via LeMat-Bulk
Functional: PBE
Structure: relaxed

```
32
Lattice="7.2620 -3.4695 0.0000 7.2620 3.4695 0.0000 -6.2021 0.0000 9.2666" Properties=species:S:1:pos:R:3 pbc="T T T"
Cd -3.2268 0.7609 7.7641
Cd 3.4992 1.9632 4.8510
Cd -0.1257 -0.7609 3.1308
Cd 1.7215 1.9632 9.0488
Cd 6.6003 -1.9632 0.2178
Cd 8.4476 0.7609 6.1357
Cd 4.8226 -1.9632 4.4155
Cd 11.5486 -0.7609 1.5025
S 0.4313 0.6207 6.3852
S 3.5323 -0.6207 1.7519
S 4.7895 0.6207 7.5147
S 7.8906 -0.6207 2.8814
O -0.9857 1.0648 6.3967
O 6.4445 2.9044 1.0609
O 4.9784 2.9044 3.5724
O 1.3105 1.7369 5.9176
O 3.7126 0.5482 0.8143
O 0.6116 -0.5482 5.4475
O 2.1153 -1.0648 1.7634
O 0.8511 0.2051 7.7635
O 3.9103 1.7369 7.9823
O 3.9522 -0.2051 3.1303
O 4.3696 0.2051 6.1363
O 4.4116 -1.7369 1.2843
O 7.4707 -0.2051 1.5030
O 6.2065 1.0648 7.5031
O 7.7103 0.5482 3.8190
O 4.6092 -0.5482 8.4523
O 7.0113 -1.7369 3.3490
O 3.3434 -2.9044 5.6942
O 1.8774 -2.9044 8.2057
O 9.3076 -1.0648 2.8699
```

Summary:
Space group: C2/c
E: -163.2 eV/cell

[8]
Compound: CdSO3
Source: Alexandria via LeMat-Bulk
Functional: PBE
Structure: relaxed

```
30
Lattice="6.7896 3.9200 2.8279 -6.7896 3.9200 2.8279 0.0000 -7.8400 2.8279" Properties=species:S:1:pos:R:3 pbc="T T T"
Cd -1.1874 -4.6927 3.6301
Cd -4.6577 -1.3180 4.8536
Cd -3.4703 3.3747 3.6301
Cd 3.4703 -3.3747 4.8536
Cd 4.6578 1.3180 3.6301
Cd 1.1874 4.6927 4.8536
S -2.2746 0.1770 2.5758
S 0.9840 -2.0584 2.5758
S 1.2906 1.8814 2.5758
S -1.2906 -1.8814 5.9079
S -0.9840 2.0584 5.9079
S 2.2746 -0.1770 5.9079
O -4.5954 -3.5767 4.5523
O -3.7251 -0.1490 3.0304
O -0.3519 -2.8245 2.4003
O -5.3952 2.1914 3.9314
O -2.2702 1.7170 2.4003
O 0.7998 -5.7681 3.9314
O 1.9915 -3.1515 3.0304
O -1.7335 -3.3005 5.4533
O -2.6220 -1.1075 6.0834
O 2.6220 1.1075 2.4003
O 1.7335 3.3005 3.0304
O -1.9915 3.1515 5.4533
O -0.7998 5.7681 4.5523
O 2.2702 -1.7170 6.0834
O 5.3952 -2.1914 4.5523
O 0.3519 2.8245 6.0834
O 3.7251 0.1490 5.4533
O 4.5954 3.5767 3.9314
```

Summary:
N(E_F): 0.0 states/eV/f.u.
Space group: R-3
E: -156.0 eV/cell

[9]
Compound: CdSO2
Source: Alexandria via LeMat-Bulk
Functional: PBE
Structure: relaxed

```
4
Lattice="0.0000 2.9050 2.9050 2.9050 0.0000 2.9050 2.9050 2.9050 0.0000" Properties=species:S:1:pos:R:3 pbc="T T T"
Cd 0.0000 0.0000 0.0000
S 2.9050 2.9050 2.9050
O 1.4525 1.4525 1.4525
O 4.3574 4.3574 4.3574
```

Summary:
N(E_F): 3.2 states/eV/f.u.
Offset from the most stable computed form: 928 meV per atom
Space group: Fm-3m

[10]
Compound: CdSO3
Source: Alexandria via LeMat-Bulk
Functional: PBE
Structure: relaxed

```
20
Lattice="4.5702 0.0000 0.0000 0.0000 9.0311 0.0000 -0.1101 0.0000 7.2808" Properties=species:S:1:pos:R:3 pbc="T T T"
Cd 0.9245 1.9000 3.4362
Cd 0.8695 2.6155 7.0765
Cd 3.5906 6.4156 0.2042
Cd 3.5355 7.1310 3.8446
S 1.1471 5.1603 2.0985
S 1.0920 8.3863 5.7389
S 3.3680 0.6448 1.5418
S 3.3130 3.8708 5.1822
O 0.3024 0.9891 1.3316
O 0.2473 3.5264 4.9720
O 1.1220 0.8855 5.4904
O 1.1771 3.6300 1.8500
O 1.3924 5.7731 0.6887
O 1.3374 7.7735 4.3290
O 3.1227 1.2576 2.9517
O 3.0676 3.2580 6.5921
O 3.2830 5.4010 5.4308
O 3.3380 8.1456 1.7904
O 4.2127 5.5046 2.3088
O 4.1576 8.0420 5.9492
```

Summary:
N(E_F): 0.0 states/eV/f.u.
Space group: P2_1/c
E: -104.1 eV/cell

[11]
Compound: Cd2SO
Source: Alexandria via LeMat-Bulk
Functional: PBE
Structure: relaxed

```
4
Lattice="3.9155 0.0000 0.0000 -1.9577 3.3909 0.0000 0.0000 0.0000 6.4316" Properties=species:S:1:pos:R:3 pbc="T T T"
Cd 0.0000 0.0000 0.0000
Cd 0.0000 2.2606 2.7964
S 0.0000 0.0000 3.8673
O 0.0000 2.2606 0.5777
```

Summary:
N(E_F): 0.5 states/eV/f.u.
Offset from the most stable computed form: 53 meV per atom
Space group: P3m1

[12]
Compound: Cd3SO
Source: Alexandria via LeMat-Bulk
Functional: PBE
Structure: relaxed

```
5
Lattice="4.6600 0.0000 0.0000 0.0000 4.6600 0.0000 0.0000 0.0000 4.6600" Properties=species:S:1:pos:R:3 pbc="T T T"
Cd 0.0000 0.0000 2.3300
Cd 0.0000 2.3300 0.0000
Cd 2.3300 0.0000 0.0000
S 2.3300 2.3300 2.3300
O 0.0000 0.0000 0.0000
```

Summary:
N(E_F): 1.0 states/eV/f.u.
Offset from the most stable computed form: 284 meV per atom
Space group: Pm-3m

[13]
Compound: Cd2SO
Source: Alexandria via LeMat-Bulk
Functional: PBE
Structure: relaxed

```
8
Lattice="-2.7766 2.7766 5.4770 2.7766 -2.7766 5.4770 2.7766 2.7766 -5.4770" Properties=species:S:1:pos:R:3 pbc="T T T"
Cd 4.1649 1.1171 -1.3692
Cd 1.1171 1.3883 1.3692
Cd -1.3883 1.6596 4.1077
Cd 1.6596 1.3883 6.8462
S 2.7766 0.0000 2.7385
S 0.0000 0.0000 5.4770
O 0.0000 0.0000 0.0000
O 0.0000 2.7766 2.7385
```

Summary:
N(E_F): 0.0 states/eV/f.u.
Offset from the most stable computed form: 0 meV per atom
Space group: I-42d

[14]
Compound: CdSO3
Source: Alexandria via LeMat-Bulk
Functional: PBE
Structure: relaxed

```
5
Lattice="4.0668 0.0000 0.0000 0.0000 4.0668 0.0000 0.0000 0.0000 4.0668" Properties=species:S:1:pos:R:3 pbc="T T T"
Cd 0.0000 0.0000 0.0000
S 2.0334 2.0334 2.0334
O 0.0000 0.0000 2.0334
O 0.0000 2.0334 0.0000
O 2.0334 0.0000 0.0000
```

Summary:
N(E_F): 3.9 states/eV/f.u.
Space group: Pm-3m
E: -15.3 eV/cell

[15]
Compound: CdSO2
Source: Alexandria via LeMat-Bulk
Functional: PBE
Structure: relaxed

```
4
Lattice="1.6408 0.9473 6.0660 -1.6408 0.9473 6.0660 0.0000 -1.8946 6.0660" Properties=species:S:1:pos:R:3 pbc="T T T"
Cd 0.0000 0.0000 0.0000
S 0.0000 0.0000 9.0990
O 0.0000 0.0000 7.3615
O 0.0000 0.0000 10.8364
```

Summary:
N(E_F): 1.1 states/eV/f.u.
Offset from the most stable computed form: 0 meV per atom
Space group: R-3m

[16]
Compound: Cd2SO
Source: Alexandria via LeMat-Bulk
Functional: PBE
Structure: relaxed

```
8
Lattice="6.5029 -1.9607 0.0000 6.5029 1.9607 0.0000 -1.3053 0.0000 6.6106" Properties=species:S:1:pos:R:3 pbc="T T T"
Cd 0.0000 0.0000 0.0000
Cd 2.6836 0.0000 4.9432
Cd 6.1693 0.0000 2.9741
Cd 9.3793 0.0000 1.1360
S 0.1655 0.0000 4.5058
S 3.6424 0.0000 2.5738
O 7.1403 0.0000 0.9752
O 9.5458 0.0000 6.0343
```

Summary:
N(E_F): 0.3 states/eV/f.u.
Offset from the most stable computed form: 10 meV per atom
Space group: Cm

[17]
Compound: CdSO3
Source: Alexandria via LeMat-Bulk
Functional: PBE
Structure: relaxed

```
5
Lattice="3.7596 0.0000 0.0000 0.0000 3.7596 0.0000 0.0000 0.0000 3.7596" Properties=species:S:1:pos:R:3 pbc="T T T"
Cd 0.0000 0.0000 0.0000
S 1.8798 1.8798 1.8798
O 0.0000 1.8798 1.8798
O 1.8798 0.0000 1.8798
O 1.8798 1.8798 0.0000
```

Summary:
N(E_F): 0.3 states/eV/f.u.
Space group: Pm-3m
E: -21.4 eV/cell

[18]
Compound: CdSO4
Source: Alexandria via LeMat-Bulk
Functional: PBE
Structure: relaxed

```
12
Lattice="7.1586 -2.8550 0.0000 7.1586 2.8550 0.0000 -2.1061 0.0000 6.5233" Properties=species:S:1:pos:R:3 pbc="T T T"
Cd 0.0000 0.0000 0.0000
Cd -1.0530 0.0000 3.2616
S 2.2488 0.0000 5.3435
S 9.9623 0.0000 1.1798
O 1.6167 1.2407 4.9895
O 0.4549 0.0000 1.9506
O 3.4815 0.0000 6.0792
O 1.6167 -1.2407 4.9895
O 10.5944 1.2407 1.5338
O 8.7296 0.0000 0.4441
O 11.7561 0.0000 4.5726
O 10.5944 -1.2407 1.5338
```

Summary:
Space group: C2/m
E: -59.5 eV/cell

[19]
Compound: Cd3SO
Source: Alexandria via LeMat-Bulk
Functional: PBE
Structure: relaxed

```
10
Lattice="1.7538 -9.6495 0.0000 1.7538 9.6495 0.0000 0.0000 0.0000 5.7262" Properties=species:S:1:pos:R:3 pbc="T T T"
Cd 1.7538 9.3122 2.8631
Cd 1.7538 5.3490 3.2874
Cd 1.7538 2.2051 2.8444
Cd 1.7538 -2.2051 5.7075
Cd 1.7538 -5.3490 0.4243
Cd 1.7538 -9.3122 0.0000
S 1.7538 2.3567 5.5708
S 1.7538 -2.3567 2.7078
O 1.7538 5.7521 5.5218
O 1.7538 -5.7521 2.6587
```

Summary:
N(E_F): 0.4 states/eV/f.u.
Offset from the most stable computed form: 0 meV per atom
Space group: Cmc2_1

[20]
Compound: Cd2SO
Source: Alexandria via LeMat-Bulk
Functional: PBE
Structure: relaxed

```
4
Lattice="1.8247 1.0535 5.9268 -1.8247 1.0535 5.9268 0.0000 -2.1069 5.9268" Properties=species:S:1:pos:R:3 pbc="T T T"
Cd 0.0000 0.0000 4.2647
Cd 0.0000 0.0000 13.5157
S 0.0000 0.0000 0.0000
O 0.0000 0.0000 8.8902
```

Summary:
N(E_F): 0.4 states/eV/f.u.
Offset from the most stable computed form: 119 meV per atom
Space group: R-3m

[21]
Compound: CdSO2
Source: Alexandria via LeMat-Bulk
Functional: PBE
Structure: relaxed

```
8
Lattice="-2.1898 2.1898 6.1359 2.1898 -2.1898 6.1359 2.1898 2.1898 -6.1359" Properties=species:S:1:pos:R:3 pbc="T T T"
Cd 0.0000 0.0000 0.0000
Cd 0.0000 2.1898 3.0679
S 2.1898 0.0000 3.0679
S 0.0000 0.0000 6.1359
O 1.0949 -0.8854 4.6019
O 1.3044 1.0949 1.5340
O 1.0949 3.0751 -1.5340
O 0.8854 1.0949 7.6698
```

Summary:
N(E_F): 0.0 states/eV/f.u.
Offset from the most stable computed form: 398 meV per atom
Space group: I-42d

[22]
Compound: CdSO4
Source: Alexandria via LeMat-Bulk
Functional: PBE
Structure: relaxed

```
12
Lattice="2.6961 -4.2102 0.0000 2.6961 4.2102 0.0000 0.0000 0.0000 7.3061" Properties=species:S:1:pos:R:3 pbc="T T T"
Cd 0.0000 0.0000 0.0000
Cd 0.0000 0.0000 3.6531
S 2.6961 1.2209 5.4796
S 2.6961 -1.2209 1.8265
O 1.4708 0.3296 5.4796
O 2.6961 2.0112 4.2386
O 2.6961 2.0112 6.7206
O 1.4708 -0.3296 1.8265
O 3.9214 0.3296 5.4796
O 2.6961 -2.0112 0.5855
O 2.6961 -2.0112 3.0675
O 3.9214 -0.3296 1.8265
```

Summary:
N(E_F): 0.0 states/eV/f.u.
Space group: Cmcm
E: -66.1 eV/cell